A plane-wave DFT calculation with PBE-GGA was carried out for a relaxed structure of ScOs5.

Structure (extended XYZ):
```
6
Lattice="-3.668 2.863 5.751 2.807 -5.188 -4.463 3.727 -0.050 2.402" Properties=species:S:1:pos:R:3 pbc="T T T"
Sc -1.067 1.922 5.789
Os 2.796 -5.175 -4.446
Os -1.526 0.200 2.372
Os 0.660 -2.518 -1.076
Os 1.038 -0.696 2.468
Os 3.266 -3.466 -1.046
```

Results
Polymorph energy (0 for the lowest one) (eV/atom): 0.093
Total DFT energy (no corrections) (eV for the cell shown): -62.03

=====

A plane-wave DFT calculation with PBE-GGA was carried out for a relaxed structure of Sc5Os3.

Structure (extended XYZ):
```
16
Lattice="-5.406 0.278 1.945 -0.718 -0.465 7.962 3.680 7.080 -0.674" Properties=species:S:1:pos:R:3 pbc="T T T"
Sc -2.587 3.491 5.072
Sc 0.142 3.409 4.162
Sc -0.794 1.672 7.081
Sc -1.653 5.227 2.154
Sc 1.469 6.023 2.211
Sc -3.916 0.876 7.023
Sc -0.186 4.709 7.214
Sc -2.261 2.190 2.020
Sc -4.589 1.050 4.002
Sc 2.143 5.850 5.232
Os -1.343 0.095 0.512
Os -1.104 6.804 8.723
Os -1.259 5.806 4.892
Os -1.187 1.094 4.342
Os -2.910 3.422 7.726
Os 0.464 3.478 1.507
```

Results
Polymorph energy (0 for the lowest one) (eV/atom): 0.093
Total DFT energy (no corrections) (eV for the cell shown): -135.58

=====

A plane-wave DFT calculation with PBE-GGA was carried out for a relaxed structure of ScOs2.

Structure (extended XYZ):
```
6
Lattice="-1.997 1.997 7.386 1.997 -1.997 7.386 1.997 1.997 -7.386" Properties=species:S:1:pos:R:3 pbc="T T T"
Sc 0.000 0.000 0.000
Sc 0.000 1.997 3.693
Os 1.997 0.000 4.887
Os 1.997 0.000 2.498
Os 0.000 0.000 8.580
Os 0.000 0.000 6.191
```

Results
Total DFT energy (no corrections) (eV for the cell shown): -56.79

=====

Number 1: size of the total moment 0.000 μB per atom, energy relative to the elements 0.08 eV/atom. Number 2: size of the total moment 0.000 μB per atom, energy relative to the elements -0.31 eV/atom. Number 3: size of the total moment 0.000 μB per atom, energy relative to the elements 0.13 eV/atom.